The following is a DFT calculation (PBE) of crystalline CdRuAu2 at its relaxed geometry.

Values from the calculation:
Symmetry = I4/mmm
Uncorrected energy = -0.144 hartree per atom
Formation enthalpy at 0 K = 255 meV per atom

Geometry as POSCAR:
```
CdRuAu2
1.0
-4.349 -1.987 1.216
-1.733 -2.000 -4.164
4.405 -0.584 2.144
Au Cd Ru
2 1 1
Direct
0.000 0.000 0.000
0.500 0.500 0.000
0.250 0.750 0.500
0.750 0.250 0.500
```



The following is a DFT calculation (PBE) of crystalline Ac4Re3PbN12 at its relaxed geometry.

Values from the calculation:
Symmetry = Im-3m
Uncorrected energy = -0.303 hartree per atom
Formation energy without anion corrections = -0.3682 eV/atom

Geometry as POSCAR:
```
Ac4Re3PbN12
1.0
7.098 0.000 0.000
-2.366 6.692 0.000
-2.366 -3.346 5.795
Ac Re Pb N
4 3 1 12
Direct
0.500 0.500 0.500
0.000 0.000 0.500
0.500 0.000 0.000
0.000 0.500 0.000
0.500 0.000 0.500
0.500 0.500 0.000
0.000 0.500 0.500
0.000 0.000 0.000
0.250 0.500 0.750
0.734 0.000 0.734
0.266 0.000 0.266
0.750 0.500 0.250
0.734 0.734 0.000
0.266 0.266 0.000
0.750 0.250 0.500
0.250 0.750 0.500
0.500 0.250 0.750
0.000 0.734 0.734
0.500 0.750 0.250
0.000 0.266 0.266
```



The following is a DFT calculation (PBE) of crystalline LiZr2Pd4 at its relaxed geometry.

Values from the calculation:
Symmetry = P-1
Uncorrected energy = -0.227 hartree per atom
Formation enthalpy at 0 K = -486 meV per atom
Offset from the most stable computed form = 0 meV per atom

Geometry as POSCAR:
```
LiZr2Pd4
1.0
7.067 -0.196 1.231
-0.703 7.063 -1.241
-2.042 -4.504 5.240
Li Zr Pd
2 4 8
Direct
0.117 0.616 0.500
0.133 0.134 0.000
0.625 0.375 0.750
0.625 0.875 0.250
0.625 0.375 0.250
0.125 0.375 0.750
0.900 0.142 0.242
0.350 0.608 0.258
0.901 0.659 0.758
0.777 0.031 0.745
0.286 0.032 0.255
0.349 0.091 0.742
0.473 0.719 0.755
0.964 0.717 0.245
```



The following is a DFT calculation (PBE) of crystalline PPb at its relaxed geometry.

Values from the calculation:
Symmetry = P6_3/mmc
Uncorrected energy = -0.154 hartree per atom
Formation enthalpy at 0 K = 379 meV per atom

Geometry as POSCAR:
```
PPb
1.0
2.122 -3.675 0.000
2.122 3.675 0.000
0.000 0.000 12.991
P Pb
4 4
Direct
0.000 0.000 0.250
0.000 0.000 0.750
0.333 0.667 0.750
0.667 0.333 0.250
0.333 0.667 0.099
0.667 0.333 0.599
0.667 0.333 0.901
0.333 0.667 0.401
```



The following is a DFT calculation (PBE) of crystalline ZnSnP2O7 at its relaxed geometry.

Values from the calculation:
Symmetry = P-1
Uncorrected energy = -0.241 hartree per atom
Formation energy without anion corrections = -1.9301 eV/atom
Offset from the most stable computed form = 0 meV per atom

Geometry as POSCAR:
```
ZnSnP2O7
1.0
-5.355 -1.695 4.177
2.637 -1.124 6.319
-0.097 6.371 3.901
Zn Sn P O
2 2 4 14
Direct
0.209 0.964 0.568
0.791 0.036 0.432
0.282 0.269 0.898
0.718 0.731 0.102
0.820 0.193 0.793
0.180 0.807 0.207
0.375 0.337 0.325
0.625 0.663 0.675
0.312 0.579 0.335
0.688 0.421 0.665
0.971 0.224 0.902
0.029 0.776 0.098
0.398 0.711 0.716
0.602 0.289 0.284
0.676 0.798 0.475
0.324 0.202 0.525
0.081 0.919 0.359
0.919 0.081 0.641
0.333 0.919 0.083
0.667 0.081 0.917
0.747 0.671 0.827
0.253 0.329 0.173
```



The following is a DFT calculation (PBE) of crystalline Tb5Sm2Tm4 at its relaxed geometry.

Values from the calculation:
Symmetry = Immm
Uncorrected energy = -0.161 hartree per atom
Formation enthalpy at 0 K = 198 meV per atom
Offset from the most stable computed form = 49 meV per atom

Geometry as POSCAR:
```
Tb5Sm2Tm4
1.0
-1.106 3.164 -0.944
-7.565 -3.603 -3.216
-0.700 1.549 12.438
Tb Sm Tm
5 2 4
Direct
0.857 0.055 0.715
0.857 0.660 0.715
0.143 0.340 0.285
0.143 0.945 0.285
0.500 0.000 0.000
0.268 0.268 0.536
0.732 0.732 0.464
0.000 0.313 0.000
0.597 0.597 0.193
0.000 0.687 0.000
0.403 0.403 0.807
```



The following is a DFT calculation (PBE) of crystalline NbAs2SeI at its relaxed geometry.

Values from the calculation:
Symmetry = P4/mmm
Uncorrected energy = -0.174 hartree per atom
Formation energy without anion corrections = 0.1430 eV/atom
Offset from the most stable computed form = 0 meV per atom

Geometry as POSCAR:
```
NbAs2SeI
1.0
5.156 0.000 0.000
0.000 5.156 0.000
0.000 0.000 4.923
I Nb As Se
1 1 2 1
Direct
0.500 0.500 0.500
0.000 0.000 0.000
0.000 0.500 0.000
0.500 0.000 0.000
0.000 0.000 0.500
```



The following is a DFT calculation (PBE) of crystalline CePmPrZn at its relaxed geometry.

Values from the calculation:
Symmetry = F-43m
Uncorrected energy = -0.150 hartree per atom
Formation enthalpy at 0 K = 98 meV per atom

Geometry as POSCAR:
```
CePmPrZn
1.0
5.439 0.000 0.000
2.719 4.710 0.000
2.719 1.570 4.441
Pr Zn Ce Pm
1 1 1 1
Direct
0.250 0.250 0.250
0.500 0.500 0.500
0.750 0.750 0.750
0.000 0.000 0.000
```